Record 1
This record from Alexandria describes crystalline K3Na2OsO6 at its relaxed geometry. The functional is PBE-GGA.

Geometry as POSCAR:
```
K3Na2OsO6
1.0
-0.055 5.867 0.815
-4.713 -3.228 1.568
3.882 -1.607 4.601
O Na K Os
6 2 3 1
direct
0.938 0.669 0.814 O
0.202 0.202 0.812 O
0.669 0.938 0.814 O
0.062 0.331 0.186 O
0.798 0.798 0.188 O
0.331 0.062 0.186 O
0.666 0.334 0.000 Na
0.334 0.666 0.000 Na
0.175 0.825 0.500 K
0.500 0.500 0.500 K
0.825 0.175 0.500 K
0.000 0.000 0.000 Os
```

## Properties
Space-group type   C2/m (12)
Crystal system   monoclinic
Formation energy without anion corrections   -1.4030 eV/atom



Record 2
This record from Alexandria describes crystalline KInSn2Ru at its relaxed geometry. The functional is PBE-GGA.

Geometry as POSCAR:
```
KInSn2Ru
1.0
5.215 0.000 0.000
0.000 5.215 0.000
0.000 0.000 5.227
In Sn Ru K
1 2 1 1
direct
0.000 0.000 0.500 In
0.000 0.500 0.000 Sn
0.500 0.000 0.000 Sn
0.000 0.000 0.000 Ru
0.500 0.500 0.500 K
```

## Properties
E_form   -0.0041 eV/atom
Space-group type   P4/mmm (123)
Crystal system   tetragonal



Record 3
This record from Alexandria describes crystalline Sr3Be2CdO6 at its relaxed geometry. The functional is PBE-GGA.

Geometry as POSCAR:
```
Sr3Be2CdO6
1.0
-4.615 2.121 2.526
-0.300 -4.943 -2.766
1.554 -3.175 5.505
O Be Cd Sr
6 2 1 3
direct
0.178 0.822 0.272 O
0.822 0.178 0.728 O
0.178 0.357 0.272 O
0.822 0.643 0.728 O
0.643 0.822 0.272 O
0.357 0.178 0.728 O
0.667 0.333 0.748 Be
0.333 0.667 0.252 Be
0.000 0.000 0.500 Cd
0.667 0.333 0.320 Sr
0.333 0.667 0.680 Sr
0.000 0.000 0.000 Sr
```

## Properties
Space-group type   P-3m1 (164)
Crystal system   trigonal
Formation energy without anion corrections   -2.3126 eV/atom